Compound: Pm8Ga3TcI4
Source: Alexandria
Functional: PBE
Structure: optimized geometry

Cell: 8.6219 8.6219 9.2483 Å, 117.76 117.76 60.05°
Atoms (fractional coordinates):
1 Pm 0.2224 0.2224 0.6938
2 Pm 0.2223 0.7494 0.6939
3 Pm 0.2506 0.7777 0.3061
4 Pm 0.2629 0.2629 0.2888
5 Pm 0.7371 0.7371 0.7112
6 Pm 0.7494 0.2223 0.6939
7 Pm 0.7777 0.2506 0.3061
8 Pm 0.7776 0.7776 0.3062
9 Ga 0.0000 0.5000 0.5000
10 Ga 0.5000 0.0000 0.5000
11 Ga 0.5000 0.5000 0.5000
12 Tc 0.0000 0.0000 0.5000
13 I 0.0000 0.0000 0.0000
14 I 0.0000 0.5000 0.0000
15 I 0.5000 0.0000 0.0000
16 I 0.5000 0.5000 0.0000

Summary:
Formation energy without anion corrections: -0.6623 eV/atom
D(E_F): 9.07 states/eV per cell